EuGdYIn | PBE | optimized geometry

Output
- Energy of formation from the pure elements: -0.147 eV/atom
- Crystal system: cubic

Cell lengths 5.530, 5.530, 5.530 Å; angles 60.00, 60.00, 60.00 degrees
Fractional positions:
Eu (0.000, 0.000, 0.000)
Gd (0.250, 0.250, 0.250)
Y (0.750, 0.750, 0.750)
In (0.500, 0.500, 0.500)



La3PrZn | PBE | optimized geometry

Output
- Polymorph energy (0 for the lowest one): 0 kJ/mol of formula units
- Energy of formation from the pure elements: -0.115 eV/atom
- Crystal system: triclinic

Cell lengths 3.802, 8.832, 10.188 Å; angles 102.76, 100.74, 90.00 degrees
Fractional positions:
La (0.001, 0.300, 0.004)
La (0.186, 0.380, 0.371)
La (0.197, 0.818, 0.396)
La (0.803, 0.182, 0.604)
La (0.814, 0.620, 0.629)
La (0.999, 0.700, 0.996)
Pr (0.406, 0.964, 0.815)
Pr (0.594, 0.036, 0.185)
Zn (0.397, 0.431, 0.795)
Zn (0.603, 0.569, 0.205)



LaTbTmAg | PBE | optimized geometry

Output
- Polymorph energy (0 for the lowest one): 0 kJ/mol of formula units
- Energy of formation from the pure elements: -0.128 eV/atom
- Crystal system: tetragonal

Cell lengths 3.644, 3.644, 8.717 Å; angles 90.00, 90.00, 90.00 degrees
Fractional positions:
La (0.000, 0.000, 0.000)
Tb (0.500, 0.500, 0.702)
Tm (0.500, 0.500, 0.295)
Ag (0.000, 0.000, 0.490)



PuPdRu | PBE | optimized geometry

Output
- Polymorph energy (0 for the lowest one): 69 kJ/mol of formula units
- Energy of formation from the pure elements: -0.030 eV/atom
- Crystal system: tetragonal

Cell lengths 4.817, 4.817, 4.817 Å; angles 134.36, 134.36, 66.53 degrees
Fractional positions:
Pu (0.000, 0.000, 0.000)
Pd (0.661, 0.661, 0.000)
Ru (0.305, 0.305, 0.000)



TlGaTeN2 | PBE | optimized geometry

Output
- Polymorph energy (0 for the lowest one): 220 kJ/mol of formula units
- Crystal system: tetragonal

Cell lengths 4.418, 4.418, 6.370 Å; angles 90.00, 90.00, 90.00 degrees
Fractional positions:
Tl (0.000, 0.000, 0.000)
Ga (0.500, 0.500, 0.500)
Te (0.000, 0.000, 0.500)
N (0.000, 0.500, 0.000)
N (0.500, 0.000, 0.000)



NdH2Au | PBE | optimized geometry

Output
- Crystal system: orthorhombic

Cell lengths 7.247, 4.983, 6.376 Å; angles 90.00, 90.00, 90.00 degrees
Fractional positions:
Nd (0.167, 0.250, 0.148)
Nd (0.333, 0.750, 0.648)
Nd (0.667, 0.250, 0.352)
Nd (0.833, 0.750, 0.852)
H (0.113, 0.512, 0.852)
H (0.113, 0.988, 0.852)
H (0.387, 0.012, 0.352)
H (0.387, 0.488, 0.352)
H (0.613, 0.512, 0.648)
H (0.613, 0.988, 0.648)
H (0.887, 0.012, 0.148)
H (0.887, 0.488, 0.148)
Au (0.034, 0.250, 0.623)
Au (0.466, 0.750, 0.123)
Au (0.534, 0.250, 0.877)
Au (0.966, 0.750, 0.377)



Ho4H2Se5 | PBE | optimized geometry

Output
- Crystal system: monoclinic

Cell lengths 10.070, 10.070, 8.022 Å; angles 103.32, 103.32, 23.02 degrees
Fractional positions:
Ho (0.038, 0.038, 0.261)
Ho (0.330, 0.330, 0.456)
Ho (0.670, 0.670, 0.544)
Ho (0.962, 0.962, 0.739)
H (0.427, 0.427, 0.645)
H (0.573, 0.573, 0.355)
Se (0.092, 0.092, 0.650)
Se (0.187, 0.187, 0.301)
Se (0.500, 0.500, 0.000)
Se (0.813, 0.813, 0.699)
Se (0.908, 0.908, 0.350)



AcPm2Mg | PBE | optimized geometry

Output
- Polymorph energy (0 for the lowest one): 95 kJ/mol of formula units
- Energy of formation from the pure elements: 0.213 eV/atom
- Crystal system: trigonal

Cell lengths 12.736, 12.736, 12.736 Å; angles 16.27, 16.27, 16.27 degrees
Fractional positions:
Ac (0.000, 0.000, 0.000)
Pm (0.096, 0.096, 0.096)
Pm (0.904, 0.904, 0.904)
Mg (0.500, 0.500, 0.500)



Cs4Na5Tl | PBE | optimized geometry

Output
- Energy of formation from the pure elements: -0.002 eV/atom
- Crystal system: tetragonal

Cell lengths 9.993, 9.993, 9.993 Å; angles 97.03, 97.03, 139.03 degrees
Fractional positions:
Cs (0.000, 0.288, 0.288)
Cs (0.000, 0.712, 0.712)
Cs (0.288, 0.000, 0.288)
Cs (0.712, 0.000, 0.712)
Na (0.245, 0.245, 0.000)
Na (0.366, 0.366, 0.681)
Na (0.366, 0.685, 0.000)
Na (0.685, 0.366, 0.000)
Na (0.685, 0.685, 0.319)
Tl (0.735, 0.735, 0.000)



CuAgMo2 | PBE | optimized geometry

Output
- Polymorph energy (0 for the lowest one): 97 kJ/mol of formula units
- Energy of formation from the pure elements: 0.483 eV/atom
- Crystal system: orthorhombic

Cell lengths 5.118, 5.118, 5.118 Å; angles 143.39, 126.25, 66.79 degrees
Fractional positions:
Cu (0.000, 0.000, 0.000)
Ag (0.750, 0.250, 0.500)
Mo (0.254, 0.754, 0.500)
Mo (0.472, 0.472, 0.000)



CuIr3Pd | PBE | optimized geometry

Output
- Polymorph energy (0 for the lowest one): 0 kJ/mol of formula units
- Energy of formation from the pure elements: 1.672 eV/atom
- Crystal system: cubic

Cell lengths 4.458, 4.458, 4.458 Å; angles 90.00, 90.00, 90.00 degrees
Fractional positions:
Cu (0.000, 0.000, 0.000)
Ir (0.000, 0.000, 0.500)
Ir (0.000, 0.500, 0.000)
Ir (0.500, 0.000, 0.000)
Pd (0.500, 0.500, 0.500)



TcSb | PBE | optimized geometry

Output
- Polymorph energy (0 for the lowest one): 11 kJ/mol of formula units
- Crystal system: orthorhombic

Cell lengths 5.760, 4.123, 6.491 Å; angles 90.00, 90.00, 90.00 degrees
Fractional positions:
Tc (0.011, 0.250, 0.195)
Tc (0.489, 0.750, 0.695)
Tc (0.511, 0.250, 0.305)
Tc (0.989, 0.750, 0.805)
Sb (0.189, 0.250, 0.599)
Sb (0.311, 0.750, 0.099)
Sb (0.689, 0.250, 0.901)
Sb (0.811, 0.750, 0.401)



Np6Pd23 | PBE | optimized geometry

Output
- Energy of formation from the pure elements: -0.245 eV/atom
- Crystal system: cubic

Cell lengths 9.084, 9.084, 9.084 Å; angles 60.00, 60.00, 60.00 degrees
Fractional positions:
Np (0.220, 0.220, 0.780)
Np (0.220, 0.780, 0.220)
Np (0.220, 0.780, 0.780)
Np (0.780, 0.220, 0.220)
Np (0.780, 0.220, 0.780)
Np (0.780, 0.780, 0.220)
Pd (0.000, 0.000, 0.500)
Pd (0.000, 0.500, 0.000)
Pd (0.000, 0.500, 0.500)
Pd (0.138, 0.621, 0.621)
Pd (0.165, 0.165, 0.165)
Pd (0.165, 0.165, 0.506)
Pd (0.165, 0.506, 0.165)
Pd (0.379, 0.379, 0.379)
Pd (0.379, 0.379, 0.862)
Pd (0.379, 0.862, 0.379)
Pd (0.494, 0.835, 0.835)
Pd (0.500, 0.000, 0.000)
Pd (0.500, 0.000, 0.500)
Pd (0.500, 0.500, 0.000)
Pd (0.500, 0.500, 0.500)
Pd (0.506, 0.165, 0.165)
Pd (0.621, 0.138, 0.621)
Pd (0.621, 0.621, 0.138)
Pd (0.621, 0.621, 0.621)
Pd (0.835, 0.494, 0.835)
Pd (0.835, 0.835, 0.494)
Pd (0.835, 0.835, 0.835)
Pd (0.862, 0.379, 0.379)



La2SmGe | PBE | optimized geometry

Output
- Polymorph energy (0 for the lowest one): 119 kJ/mol of formula units
- Energy of formation from the pure elements: -0.145 eV/atom
- Crystal system: cubic

Cell lengths 5.501, 5.501, 5.501 Å; angles 60.00, 60.00, 60.00 degrees
Fractional positions:
La (0.250, 0.250, 0.250)
La (0.750, 0.750, 0.750)
Sm (0.000, 0.000, 0.000)
Ge (0.500, 0.500, 0.500)



KMo2Ru | PBE | optimized geometry

Output
- Polymorph energy (0 for the lowest one): 236 kJ/mol of formula units
- Energy of formation from the pure elements: 1.341 eV/atom
- Crystal system: monoclinic

Cell lengths 5.728, 5.728, 2.618 Å; angles 97.50, 97.50, 121.49 degrees
Fractional positions:
K (0.000, 0.000, 0.000)
Mo (0.000, 0.500, 0.500)
Mo (0.500, 0.000, 0.500)
Ru (0.500, 0.500, 0.000)



Ac4As2NO2 | PBE | optimized geometry

Output
- Crystal system: monoclinic

Cell lengths 7.627, 7.627, 7.534 Å; angles 109.04, 109.04, 31.98 degrees
Fractional positions:
Ac (0.014, 0.014, 0.271)
Ac (0.293, 0.293, 0.319)
Ac (0.707, 0.707, 0.681)
Ac (0.986, 0.986, 0.729)
As (0.379, 0.379, 0.954)
As (0.621, 0.621, 0.046)
N (0.500, 0.500, 0.500)
O (0.175, 0.175, 0.504)
O (0.825, 0.825, 0.496)



Pm3Nd3Y2 | PBE | optimized geometry

Output
- Energy of formation from the pure elements: 0.016 eV/atom
- Crystal system: orthorhombic

Cell lengths 10.897, 10.897, 10.897 Å; angles 152.61, 152.61, 39.12 degrees
Fractional positions:
Pm (0.000, 0.000, 0.000)
Pm (0.374, 0.874, 0.500)
Pm (0.626, 0.126, 0.500)
Nd (0.126, 0.626, 0.500)
Nd (0.500, 0.500, 0.000)
Nd (0.874, 0.374, 0.500)
Y (0.250, 0.250, 0.000)
Y (0.750, 0.750, 0.000)



InRhSe | PBE | optimized geometry

Output
- Polymorph energy (0 for the lowest one): 6 kJ/mol of formula units
- Crystal system: trigonal

Cell lengths 3.499, 3.499, 5.747 Å; angles 90.00, 90.00, 120.00 degrees
Fractional positions:
In (0.000, 0.000, 0.000)
Rh (0.667, 0.333, 0.341)
Se (0.333, 0.667, 0.586)



LaZr2Cu2 | PBE | optimized geometry

Output
- Polymorph energy (0 for the lowest one): 22 kJ/mol of formula units
- Energy of formation from the pure elements: 0.059 eV/atom
- Crystal system: tetragonal

Cell lengths 8.226, 8.226, 3.014 Å; angles 90.00, 90.00, 90.00 degrees
Fractional positions:
La (0.000, 0.000, 0.000)
La (0.500, 0.500, 0.000)
Zr (0.136, 0.364, 0.000)
Zr (0.364, 0.864, 0.000)
Zr (0.636, 0.136, 0.000)
Zr (0.864, 0.636, 0.000)
Cu (0.159, 0.659, 0.500)
Cu (0.341, 0.159, 0.500)
Cu (0.659, 0.841, 0.500)
Cu (0.841, 0.341, 0.500)



Mg2BiW2 | PBE | optimized geometry

Output
- Polymorph energy (0 for the lowest one): 0 kJ/mol of formula units
- Energy of formation from the pure elements: 0.612 eV/atom
- Crystal system: tetragonal

Cell lengths 9.547, 9.547, 9.547 Å; angles 158.35, 158.35, 30.81 degrees
Fractional positions:
Mg (0.118, 0.118, 0.000)
Mg (0.882, 0.882, 0.000)
Bi (0.500, 0.500, 0.000)
W (0.250, 0.750, 0.500)
W (0.750, 0.250, 0.500)



Listing electronic total energy for the structures above in their given order: -0.6274; -0.3147; -0.3195; -0.7078; -0.2495; -0.3081; -0.3949; -0.2638; -0.0911; -0.4902; -0.4044; -0.5237; -0.5175; -0.3633; -0.4901; -0.5037; -0.3800; -0.3464; -0.4398; -0.4397 Ry/atom.